No. 1
# Ho2ScAl3CuSn2 (PBE, optimized geometry)
data_Ho2ScAl3CuSn2
_cell_length_a 4.202
_cell_length_b 7.162
_cell_length_c 7.162
_cell_angle_alpha 118.75
_cell_angle_beta 90.00
_cell_angle_gamma 90.00
_space_group_name_H-M_alt 'P 1'
_space_group_IT_number 1
_space_group_name_Hall 'P 1'
loop_
_atom_site_label
_atom_site_type_symbol
_atom_site_fract_x
_atom_site_fract_y
_atom_site_fract_z
_atom_site_occupancy
Al1 Al 0.500 0.000 0.228 1
Al2 Al 0.500 0.783 0.783 1
Al3 Al 0.500 0.228 0.000 1
Cu1 Cu 0.000 0.010 0.010 1
Ho1 Ho 0.000 0.998 0.609 1
Ho2 Ho 0.000 0.609 0.998 1
Sc1 Sc 0.000 0.379 0.379 1
Sn1 Sn 0.500 0.657 0.338 1
Sn2 Sn 0.500 0.338 0.657 1
# Uncorrected energy, eV per atom: -4.7938
# Total magnetization, Bohr magnetons per cell: 0.00

No. 2
# Ho3Al3Cu2Si (PBE, optimized geometry)
data_Ho3Al3Cu2Si
_cell_length_a 7.193
_cell_length_b 7.193
_cell_length_c 3.855
_cell_angle_alpha 90.00
_cell_angle_beta 90.00
_cell_angle_gamma 120.00
_space_group_name_H-M_alt 'P 1'
_space_group_IT_number 1
_space_group_name_Hall 'P 1'
loop_
_atom_site_label
_atom_site_type_symbol
_atom_site_fract_x
_atom_site_fract_y
_atom_site_fract_z
_atom_site_occupancy
Al1 Al 0.746 0.000 0.500 1
Al2 Al 0.254 0.254 0.500 1
Al3 Al 0.000 0.746 0.500 1
Cu1 Cu 0.667 0.333 0.500 1
Cu2 Cu 0.333 0.667 0.500 1
Ho1 Ho 0.399 0.000 0.000 1
Ho2 Ho 0.000 0.399 0.000 1
Ho3 Ho 0.601 0.601 0.000 1
Si1 Si 0.000 0.000 0.000 1
# Uncorrected energy, eV per atom: -4.6322
# Total magnetization, Bohr magnetons per cell: 0.01

No. 3
# Y2HoAl3CuSi2 (PBE, optimized geometry)
data_Y2HoAl3CuSi2
_cell_length_a 4.170
_cell_length_b 6.915
_cell_length_c 6.915
_cell_angle_alpha 119.97
_cell_angle_beta 90.00
_cell_angle_gamma 90.00
_space_group_name_H-M_alt 'P 1'
_space_group_IT_number 1
_space_group_name_Hall 'P 1'
loop_
_atom_site_label
_atom_site_type_symbol
_atom_site_fract_x
_atom_site_fract_y
_atom_site_fract_z
_atom_site_occupancy
Al1 Al 0.500 0.238 0.001 1
Al2 Al 0.500 0.001 0.238 1
Al3 Al 0.500 0.762 0.762 1
Cu1 Cu 0.000 0.002 0.002 1
Ho1 Ho 0.000 0.406 0.406 1
Si1 Si 0.500 0.665 0.334 1
Si2 Si 0.500 0.334 0.665 1
Y1 Y 0.000 0.000 0.593 1
Y2 Y 0.000 0.593 0.000 1
# Uncorrected energy, eV per atom: -5.4527
# Total magnetization, Bohr magnetons per cell: 0.00

No. 4
# Tb2HoAl3CuSn2 (PBE, optimized geometry)
data_Tb2HoAl3CuSn2
_cell_length_a 4.287
_cell_length_b 7.294
_cell_length_c 7.294
_cell_angle_alpha 119.84
_cell_angle_beta 90.00
_cell_angle_gamma 90.00
_space_group_name_H-M_alt 'P 1'
_space_group_IT_number 1
_space_group_name_Hall 'P 1'
loop_
_atom_site_label
_atom_site_type_symbol
_atom_site_fract_x
_atom_site_fract_y
_atom_site_fract_z
_atom_site_occupancy
Al1 Al 0.500 0.223 0.000 1
Al2 Al 0.500 0.000 0.223 1
Al3 Al 0.500 0.778 0.778 1
Cu1 Cu 0.000 0.003 0.003 1
Ho1 Ho 0.000 0.386 0.386 1
Sn1 Sn 0.500 0.665 0.334 1
Sn2 Sn 0.500 0.334 0.665 1
Tb1 Tb 0.000 0.999 0.612 1
Tb2 Tb 0.000 0.612 0.999 1
# Uncorrected energy, eV per atom: -4.6417
# Total magnetization, Bohr magnetons per cell: 0.00

Please write out number 3 again, unchanged.
# Y2HoAl3CuSi2 (PBE, optimized geometry)
data_Y2HoAl3CuSi2
_cell_length_a 4.170
_cell_length_b 6.915
_cell_length_c 6.915
_cell_angle_alpha 119.97
_cell_angle_beta 90.00
_cell_angle_gamma 90.00
_space_group_name_H-M_alt 'P 1'
_space_group_IT_number 1
_space_group_name_Hall 'P 1'
loop_
_atom_site_label
_atom_site_type_symbol
_atom_site_fract_x
_atom_site_fract_y
_atom_site_fract_z
_atom_site_occupancy
Al1 Al 0.500 0.238 0.001 1
Al2 Al 0.500 0.001 0.238 1
Al3 Al 0.500 0.762 0.762 1
Cu1 Cu 0.000 0.002 0.002 1
Ho1 Ho 0.000 0.406 0.406 1
Si1 Si 0.500 0.665 0.334 1
Si2 Si 0.500 0.334 0.665 1
Y1 Y 0.000 0.000 0.593 1
Y2 Y 0.000 0.593 0.000 1
# Uncorrected energy, eV per atom: -5.4527
# Total magnetization, Bohr magnetons per cell: 0.00